Entry 1:
DFT (PBE) results for Pm6Ni2Rh after structural relaxation.

For the calculated formation energy, the calculation gives -0.3128 eV per atom. For the total moment, the calculation gives 0.00 μB/f.u. As for the density of states at the Fermi level: 31.31 states/eV per cell.

It has space group Immm (No. 71), with a = 9.649 Å, b = 9.767 Å, c = 9.826 Å, α = 90.00°, β = 90.00° and γ = 90.00°. The inequivalent atoms are Pm at (0.000, 0.241, 0.181), Pm at (0.185, 0.330, 0.500), Pm at (0.236, 0.000, 0.328), Ni at (0.000, 0.118, 0.500), Ni at (0.000, 0.500, 0.325), Rh at (0.000, 0.000, 0.000) and Rh at (0.000, 0.500, 0.000).

Entry 2:
DFT (PBE) results for BeCd2H after structural relaxation.

For the total moment, the calculation gives 0.00 μB/f.u. As for the density of states at the Fermi level: 5.41 states/eV per cell. The value obtained for the distance to the lowest polymorph of the same formula is 0.056 eV per atom.

It has space group Fm-3m (No. 225), with a = 6.152 Å, b = 6.152 Å, c = 6.152 Å, α = 90.00°, β = 90.00° and γ = 90.00°. The inequivalent atoms are Be at (0.000, 0.000, 0.000), Cd at (0.250, 0.250, 0.250) and H at (0.000, 0.000, 0.500).

Entry 3:
DFT (PBE) results for Ni2Pt3W after structural relaxation.

For the calculated formation energy, the calculation gives -0.1241 eV per atom. For the total moment, the calculation gives 0.00 μB/f.u. As for the density of states at the Fermi level: 20.62 states/eV per cell. The value obtained for the distance to the lowest polymorph of the same formula is 0.000 eV per atom.

It has space group Cmcm (No. 63), with a = 5.498 Å, b = 13.163 Å, c = 4.789 Å, α = 90.00°, β = 90.00° and γ = 90.00°. The inequivalent atoms are Ni at (0.231, 0.000, 0.000), Pt at (0.000, 0.364, 0.250), Pt at (0.245, 0.177, 0.250) and W at (0.000, 0.143, 0.750).

Entry 4:
DFT (PBE) results for LuMgCoAu after structural relaxation.

For the calculated formation energy, the calculation gives -0.3556 eV per atom. For the total moment, the calculation gives 0.76 μB/f.u. As for the density of states at the Fermi level: 7.98 states/eV per cell.

It has space group F-43m (No. 216), with a = 6.618 Å, b = 6.618 Å, c = 6.618 Å, α = 90.00°, β = 90.00° and γ = 90.00°. The inequivalent atoms are Lu at (0.000, 0.000, 0.000), Mg at (0.000, 0.000, 0.500), Co at (0.250, 0.250, 0.250) and Au at (0.250, 0.250, 0.750).